a.
## SmAlIn2 (PBE)

Data for SmAlIn2 after structural relaxation.

Output
Crystal system: trigonal
Spin magnetization (μB/atom): 0.0000
SG: R-3m (166)

Lattice parameters (Å, degrees): 4.6486 4.6486 16.3114 90.00 90.00 120.00
Closest atoms and distances in Å follow each position.
Fractional positions:
Sm: 0.0000 0.0000 0.0000  6 In 3.20
Sm: 0.3333 0.6667 0.6667  6 In 3.20
Sm: 0.6667 0.3333 0.3333  6 In 3.20
Al: 0.0000 0.0000 0.5000  6 In 2.86
Al: 0.3333 0.6667 0.1667  6 In 2.86
Al: 0.6667 0.3333 0.8333  6 In 2.86
In: 0.0000 0.0000 0.2270  3 Al 2.86, 3 Sm 3.20
In: 0.0000 0.0000 0.7730  3 Al 2.86, 3 Sm 3.20
In: 0.3333 0.6667 0.4397  3 Al 2.86, 3 Sm 3.20
In: 0.3333 0.6667 0.8937  3 Al 2.86, 3 Sm 3.20
In: 0.6667 0.3333 0.1063  3 Al 2.86, 3 Sm 3.20
In: 0.6667 0.3333 0.5603  3 Al 2.86, 3 Sm 3.20

=====

b.
## SmAlIn2 (PBE)

Data for SmAlIn2 after structural relaxation.

Output
Crystal system: tetragonal
Spin magnetization (μB/atom): 0.0000
SG: P4/mmm (123)

Lattice parameters (Å, degrees): 4.5463 4.5463 4.6200 90.00 90.00 90.00
Closest atoms and distances in Å follow each position.
Fractional positions:
Sm: 0.0000 0.0000 0.0000  4 Al 3.21, 8 In 3.24
Al: 0.5000 0.5000 0.0000  4 Sm 3.21, 8 In 3.24
In: 0.0000 0.5000 0.5000  4 In 3.21, 4 Al 3.24, 4 Sm 3.24
In: 0.5000 0.0000 0.5000  4 In 3.21, 4 Al 3.24, 4 Sm 3.24

=====

Least stable: a

=====

a.
## Sm4AlIn (PBE)

Data for Sm4AlIn after structural relaxation.

Output
Crystal system: trigonal
Spin magnetization (μB/atom): 0.0004
SG: R-3m (166)

Lattice parameters (Å, degrees): 9.0464 9.0464 9.0464 33.39 33.39 33.39
Closest atoms and distances in Å follow each position.
Fractional positions:
Sm: 0.1212 0.1212 0.1212  1 Al 3.10, 3 In 3.22
Sm: 0.3715 0.3715 0.3715  3 Al 3.16, 1 In 3.29
Sm: 0.6285 0.6285 0.6285  3 Al 3.16, 1 In 3.29
Sm: 0.8788 0.8788 0.8788  1 Al 3.10, 3 In 3.22
Al: 0.0000 0.0000 0.0000  8 Sm 3.10-3.16
In: 0.5000 0.5000 0.5000  8 Sm 3.22-3.29

=====

b.
## Sm4AlIn (PBE)

Data for Sm4AlIn after structural relaxation.

Output
Crystal system: monoclinic
Spin magnetization (μB/atom): 0.0000
SG: C2/m (12)

Lattice parameters (Å, degrees): 14.3529 3.5573 7.1396 90.00 104.33 90.00
Closest atoms and distances in Å follow each position.
Fractional positions:
Sm: 0.1488 0.0000 0.3316  2 Al 3.23, 2 In 3.29, 3 Sm 3.47-3.56
Sm: 0.1519 0.0000 0.8196  2 Al 3.27, 2 In 3.31, 3 Sm 3.47-3.56
Sm: 0.3481 0.5000 0.1804  2 Al 3.27, 2 In 3.31, 3 Sm 3.47-3.56
Sm: 0.3512 0.5000 0.6684  2 Al 3.23, 2 In 3.29, 3 Sm 3.47-3.56
Sm: 0.6488 0.5000 0.3316  2 Al 3.23, 2 In 3.29, 3 Sm 3.47-3.56
Sm: 0.6519 0.5000 0.8196  2 Al 3.27, 2 In 3.31, 3 Sm 3.47-3.56
Sm: 0.8481 0.0000 0.1804  2 Al 3.27, 2 In 3.31, 3 Sm 3.47-3.56
Sm: 0.8512 0.0000 0.6684  2 Al 3.23, 2 In 3.29, 3 Sm 3.47-3.56
Al: 0.0000 0.5000 0.5000  8 Sm 3.23-3.27, 2 Al 3.56, 2 In 3.57
Al: 0.5000 0.0000 0.5000  8 Sm 3.23-3.27, 2 Al 3.56, 2 In 3.57
In: 0.0000 0.5000 0.0000  8 Sm 3.29-3.31, 2 In 3.56, 2 Al 3.57
In: 0.5000 0.0000 0.0000  8 Sm 3.29-3.31, 2 In 3.56, 2 Al 3.57

=====

Least stable: a

=====

a.
## Sm2Al3In (PBE)

Data for Sm2Al3In after structural relaxation.

Output
Crystal system: orthorhombic
Spin magnetization (μB/atom): 0.0000
SG: Fmmm (69)

Lattice parameters (Å, degrees): 9.3130 8.8811 5.9505 74.89 67.02 38.09
Closest atoms and distances in Å follow each position.
Fractional positions:
Sm: 0.2500 0.2500 0.2500  4 In 3.27, 8 Al 3.29
Sm: 0.2498 0.7502 0.7502  10 Al 3.22-3.29, 2 In 3.27
Sm: 0.7502 0.2498 0.2498  10 Al 3.22-3.29, 2 In 3.27
Sm: 0.7500 0.7500 0.7500  4 In 3.27, 8 Al 3.29
Al: 0.1632 0.1632 0.8368  2 Al 2.63, 1 In 2.75
Al: 0.1630 0.6735 0.3265  2 Al 2.63-2.64, 1 In 2.74
Al: 0.3265 0.8370 0.1630  2 Al 2.63-2.64, 1 In 2.74
Al: 0.6735 0.1630 0.8370  2 Al 2.63-2.64, 1 In 2.74
Al: 0.8370 0.3265 0.6735  2 Al 2.63-2.64, 1 In 2.74
Al: 0.8368 0.8368 0.1632  2 Al 2.63, 1 In 2.75
In: 0.3334 0.3334 0.6666  3 Al 2.74-2.75
In: 0.6666 0.6666 0.3334  3 Al 2.74-2.75

=====

b.
## Sm2Al3In (PBE)

Data for Sm2Al3In after structural relaxation.

Output
Crystal system: orthorhombic
Spin magnetization (μB/atom): 0.0000
SG: Pmm2 (25)

Lattice parameters (Å, degrees): 3.6423 4.6788 8.1210 90.00 90.00 90.00
Closest atoms and distances in Å follow each position.
Fractional positions:
Sm: 0.0000 0.0000 0.0000  8 Al 3.19-3.39, 4 In 3.29
Sm: 0.0000 0.5000 0.4828  10 Al 3.16-3.26, 2 In 3.32
Al: 0.5000 0.0000 0.3225  3 Al 2.65-2.67
Al: 0.5000 0.0000 0.6486  1 Al 2.65, 2 In 2.74
Al: 0.5000 0.5000 0.1647  2 Al 2.67, 1 In 2.76
In: 0.5000 0.5000 0.8247  3 Al 2.74-2.76

=====

Least stable: a

=====

a.
## SmAl2In (PBE)

Data for SmAl2In after structural relaxation.

Output
Crystal system: trigonal
Spin magnetization (μB/atom): 0.0000
SG: R-3m (166)

Lattice parameters (Å, degrees): 4.4922 4.4922 23.0014 90.00 90.00 120.00
Closest atoms and distances in Å follow each position.
Fractional positions:
Sm: 0.0000 0.0000 0.0000  2 Al 3.00
Sm: 0.3333 0.6667 0.6667  2 Al 3.00
Sm: 0.6667 0.3333 0.3333  2 Al 3.00
Al: 0.0000 0.0000 0.1303  3 In 2.73, 1 Sm 3.00
Al: 0.0000 0.0000 0.8697  3 In 2.73, 1 Sm 3.00
Al: 0.3333 0.6667 0.5364  3 In 2.73, 1 Sm 3.00
Al: 0.3333 0.6667 0.7969  3 In 2.73, 1 Sm 3.00
Al: 0.6667 0.3333 0.2031  3 In 2.73, 1 Sm 3.00
Al: 0.6667 0.3333 0.4636  3 In 2.73, 1 Sm 3.00
In: 0.0000 0.0000 0.5000  6 Al 2.73
In: 0.3333 0.6667 0.1667  6 Al 2.73
In: 0.6667 0.3333 0.8333  6 Al 2.73

=====

b.
## SmAl2In (PBE)

Data for SmAl2In after structural relaxation.

Output
Crystal system: tetragonal
Spin magnetization (μB/atom): 0.0000
SG: P4/mmm (123)

Lattice parameters (Å, degrees): 4.4883 4.4883 4.3673 90.00 90.00 90.00
Closest atoms and distances in Å follow each position.
Fractional positions:
Sm: 0.0000 0.0000 0.0000  8 Al 3.13, 4 In 3.17
Al: 0.0000 0.5000 0.5000  4 In 3.13, 4 Sm 3.13, 4 Al 3.17
Al: 0.5000 0.0000 0.5000  4 In 3.13, 4 Sm 3.13, 4 Al 3.17
In: 0.5000 0.5000 0.0000  8 Al 3.13, 4 Sm 3.17

=====

Least stable: a

=====

a.
## SmTmAlIn (PBE)

Data for SmTmAlIn after structural relaxation.

Output
Crystal system: cubic
Spin magnetization (μB/atom): 0.0000
SG: F-43m (216)

Lattice parameters (Å, degrees): 7.4082 7.4082 7.4082 90.00 90.00 90.00
Closest atoms and distances in Å follow each position.
Fractional positions:
Sm: 0.0000 0.0000 0.0000  4 In 3.21, 4 Al 3.21
Sm: 0.0000 0.5000 0.5000  4 In 3.21, 4 Al 3.21
Sm: 0.5000 0.0000 0.5000  4 In 3.21, 4 Al 3.21
Sm: 0.5000 0.5000 0.0000  4 In 3.21, 4 Al 3.21
Tm: 0.0000 0.0000 0.5000  4 In 3.21, 4 Al 3.21
Tm: 0.0000 0.5000 0.0000  4 In 3.21, 4 Al 3.21
Tm: 0.5000 0.0000 0.0000  4 In 3.21, 4 Al 3.21
Tm: 0.5000 0.5000 0.5000  4 In 3.21, 4 Al 3.21
Al: 0.2500 0.2500 0.2500  4 Tm 3.21, 4 Sm 3.21
Al: 0.2500 0.7500 0.7500  4 Tm 3.21, 4 Sm 3.21
Al: 0.7500 0.2500 0.7500  4 Tm 3.21, 4 Sm 3.21
Al: 0.7500 0.7500 0.2500  4 Tm 3.21, 4 Sm 3.21
In: 0.2500 0.2500 0.7500  4 Tm 3.21, 4 Sm 3.21
In: 0.2500 0.7500 0.2500  4 Tm 3.21, 4 Sm 3.21
In: 0.7500 0.2500 0.2500  4 Tm 3.21, 4 Sm 3.21
In: 0.7500 0.7500 0.7500  4 Tm 3.21, 4 Sm 3.21

=====

b.
## SmTmAlIn (PBE)

Data for SmTmAlIn after structural relaxation.

Output
Crystal system: tetragonal
Spin magnetization (μB/atom): 0.0000
SG: P4mm (99)

Lattice parameters (Å, degrees): 3.6657 3.6657 7.5231 90.00 90.00 90.00
Closest atoms and distances in Å follow each position.
Fractional positions:
Sm: 0.0000 0.0000 0.0000  4 Al 3.21, 4 In 3.31
Tm: 0.0000 0.0000 0.4778  4 Al 3.10, 4 In 3.19
Al: 0.5000 0.5000 0.2509  4 Tm 3.10, 4 Sm 3.21
In: 0.5000 0.5000 0.7259  4 Tm 3.19, 4 Sm 3.31, 1 Al 3.57

=====

Least stable: a

=====

a.
## Al2In2Sn (PBE)

Data for Al2In2Sn after structural relaxation.

Output
Crystal system: tetragonal
Spin magnetization (μB/atom): 0.0000
SG: I4/mmm (139)

Lattice parameters (Å, degrees): 3.8717 3.8717 16.4190 90.00 90.00 90.00
Closest atoms and distances in Å follow each position.
Fractional positions:
Al: 0.0000 0.5000 0.2500  4 Al 2.74, 4 In 3.03
Al: 0.0000 0.5000 0.7500  4 Al 2.74, 4 In 3.03
Al: 0.5000 0.0000 0.2500  4 Al 2.74, 4 In 3.03
Al: 0.5000 0.0000 0.7500  4 Al 2.74, 4 In 3.03
In: 0.0000 0.0000 0.1081  4 Al 3.03, 4 Sn 3.26
In: 0.0000 0.0000 0.8919  4 Al 3.03, 4 Sn 3.26
In: 0.5000 0.5000 0.3919  4 Al 3.03, 4 Sn 3.26
In: 0.5000 0.5000 0.6081  4 Al 3.03, 4 Sn 3.26
Sn: 0.0000 0.0000 0.5000  8 In 3.26
Sn: 0.5000 0.5000 0.0000  8 In 3.26

=====

b.
## Al2In2Sn (PBE)

Data for Al2In2Sn after structural relaxation.

Output
Crystal system: tetragonal
Spin magnetization (μB/atom): 0.0000
SG: I4/mmm (139)

Lattice parameters (Å, degrees): 4.4875 4.4875 12.2719 90.00 90.00 90.00
Closest atoms and distances in Å follow each position.
Fractional positions:
Al: 0.0000 0.0000 0.1024  1 Al 2.51
Al: 0.0000 0.0000 0.8976  1 Al 2.51
Al: 0.5000 0.5000 0.3976  1 Al 2.51
Al: 0.5000 0.5000 0.6024  1 Al 2.51
In: 0.0000 0.5000 0.2500  4 Al 2.88, 4 In 3.17
In: 0.0000 0.5000 0.7500  4 Al 2.88, 4 In 3.17
In: 0.5000 0.0000 0.2500  4 Al 2.88, 4 In 3.17
In: 0.5000 0.0000 0.7500  4 Al 2.88, 4 In 3.17
Sn: 0.0000 0.0000 0.5000  8 Al 3.41, 8 In 3.80
Sn: 0.5000 0.5000 0.0000  8 Al 3.41, 8 In 3.80

=====

Least stable: b